[1]
A plane-wave DFT calculation with GGA-PBE was carried out for a relaxed structure of Tb2Pr3ScSe6.

Lattice parameters (Å, degrees): 18.1915 4.0983 8.4080 90.00 105.05 90.00
With the nearest neighbours (Å) after each atom.
Space group C2/m (No. 12)
One atom of each set of equivalent atoms:
Tb  0.1659  0.0000  0.3323 x4  6 Se 2.87-2.89
Pr  0.0000  0.5000  0.5000 x2  6 Se 2.99-3.07
Pr  0.1694  0.0000  0.8357 x4  6 Se 3.00-3.05
Sc  0.0000  0.5000  0.0000 x2  6 Se 2.77-2.81
Se  0.0016  0.0000  0.2291 x4  2 Sc 2.81, 1 Tb 2.89, 3 Pr 3.02-3.07
Se  0.1575  0.5000  0.0889 x4  1 Sc 2.77, 2 Tb 2.87, 3 Pr 3.00-3.05
Se  0.1701  0.5000  0.5747 x4  3 Tb 2.88, 3 Pr 2.99-3.00

---

[2]
A plane-wave DFT calculation with GGA-PBE was carried out for a relaxed structure of Dy2HoTe4.

Values from the calculation:
The value obtained for the relative energy among the computed polymorphs is 0.0 kJ per mole of atoms.

Lattice parameters (Å, degrees): 16.2188 4.3355 7.5623 90.00 117.48 90.00
With the nearest neighbours (Å) after each atom.
Space group C2/m (No. 12)
One atom of each set of equivalent atoms:
Dy  0.2440  0.0000  0.2298 x4  6 Te 3.05-3.15
Ho  0.0000  0.5000  0.5000 x2  6 Te 3.05-3.10
Te  0.1197  0.5000  0.9510 x4  3 Dy 3.05-3.09, 1 Ho 3.05
Te  0.1281  0.0000  0.4654 x4  2 Ho 3.10, 3 Dy 3.13-3.15

---

[3]
A plane-wave DFT calculation with GGA-PBE was carried out for a relaxed structure of MgTlGa.

Values from the calculation:
The calculated formation energy is -0.006 eV/atom.

Lattice parameters (Å, degrees): 3.3465 4.3967 10.1763 99.00 90.23 90.00
With the nearest neighbours (Å) after each atom.
Space group P-1 (No. 2)
One atom of each set of equivalent atoms:
Mg  0.2470  0.3801  0.3269 x2  4 Ga 2.86
Tl  0.2493  0.2097  0.8995 x2  1 Ga 3.02, 2 Tl 3.35
Ga  0.2521  0.0923  0.5988 x2  2 Ga 2.64-2.65, 4 Mg 2.86

---

Number 1: energy -6.01 eV/atom, density 6909 kg/m³. Number 2: energy -5.14 eV/atom, density 7042 kg/m³. Number 3: energy -2.34 eV/atom, density 6701 kg/m³.